Computed, not measured: ScHg2Pd2 after structural relaxation at the PBE level of DFT.

a b c (Å): 3.9361 3.9361 7.1727
angles (deg): 74.07 74.07 90.00
With the nearest neighbours (Å) after each atom.
Sites, in units of the cell vectors:
Hg: 0.6053 0.6053 0.7894  4 Pd 2.74, 1 Hg 2.78
Hg: 0.3947 0.3947 0.2106  4 Pd 2.74, 1 Hg 2.78
Pd: 0.7500 0.2500 0.5000  4 Hg 2.74, 4 Pd 2.78
Pd: 0.2500 0.7500 0.5000  4 Hg 2.74, 4 Pd 2.78
Sc: 0.0000 0.0000 0.0000  8 Hg 3.11

Summary:
Energy above the lowest structure with this stoichiometry: 5.39 kcal/mol of atoms
Size of the total moment: 0.000 μB/f.u.
N(E_F): 3.17 states/eV/f.u.
Calculated volume: 102.42 Å³ per cell
DFT formation energy: -155 meV per atom